(1)
An optimized crystal structure of UTi2Tl3Te6. Source: Alexandria via LeMat-Bulk, functional GGA-PBE.

The density of states at the Fermi level is 0.66 states/eV/atom. The value obtained for the formation energy without anion corrections is -524.9 meV/atom.

The structure belongs to space group C2/m (No. 12); the cell edges are 7.2387, 12.5418 and 8.6125 Å and the angles 90.00°, 106.22° and 90.00°. The inequivalent atoms are U at (0.0000, 0.0000, 0.0000), Ti at (0.0000, 0.3262, 0.0000), Tl at (0.0000, 0.1553, 0.5000), Tl at (0.0000, 0.5000, 0.5000), Te at (0.2073, 0.5000, 0.1933) and Te at (0.2461, 0.1758, 0.2066).

(2)
An optimized crystal structure of LaY2V. Source: Alexandria via LeMat-Bulk, functional GGA-PBE.

As for the polymorph energy (0 for the lowest one): 0.0000 eV/atom. The density of states at the Fermi level is 1.18 states/eV/atom. The value obtained for the formation enthalpy at 0 K is 0.36 eV/atom.

The structure belongs to space group R-3m (No. 166, hexagonal axes); the cell edges are 3.5335, 3.5335 and 32.0378 Å and the angles 90.00°, 90.00° and 120.00°. The inequivalent atoms are La at (0.0000, 0.0000, 0.0000), Y at (0.0000, 0.0000, 0.2359) and V at (0.0000, 0.0000, 0.5000).

(3)
An optimized crystal structure of K8Rb3Hg. Source: Alexandria via LeMat-Bulk, functional GGA-PBE.

The density of states at the Fermi level is 0.76 states/eV/atom. The value obtained for the formation enthalpy at 0 K is -0.03 eV/atom.

The structure belongs to space group P6_3mc (No. 186); the cell edges are 14.4538, 14.4538 and 9.3333 Å and the angles 90.00°, 90.00° and 120.00°. The inequivalent atoms are K at (0.0000, 0.0000, 0.0322), K at (0.0382, 0.5191, 0.0000), K at (0.2157, 0.4314, 0.2868), K at (0.3333, 0.6667, 0.6673), Rb at (0.1574, 0.3147, 0.7803) and Hg at (0.3333, 0.6667, 0.0505).

(4)
An optimized crystal structure of KBa2LiZn. Source: Alexandria via LeMat-Bulk, functional GGA-PBE.

The density of states at the Fermi level is 1.05 states/eV/atom. The value obtained for the formation enthalpy at 0 K is 0.06 eV/atom.

The structure belongs to space group P4/mmm (No. 123); the cell edges are 6.6575, 6.6575 and 5.4778 Å and the angles 90.00°, 90.00° and 90.00°. The inequivalent atoms are K at (0.0000, 0.0000, 0.0000), Ba at (0.0000, 0.5000, 0.5000), Li at (0.5000, 0.5000, 0.0000) and Zn at (0.5000, 0.5000, 0.5000).

(5)
An optimized crystal structure of La5NdSmTm2. Source: Alexandria via LeMat-Bulk, functional GGA-PBE.

The density of states at the Fermi level is 1.60 states/eV/atom. The value obtained for the formation enthalpy at 0 K is 0.14 eV/atom.

The structure belongs to space group Cmc2_1 (No. 36); the cell edges are 5.7661, 20.7533 and 10.7484 Å and the angles 90.00°, 90.00° and 90.00°. The inequivalent atoms are La at (0.0000, 0.0158, 0.0000), La at (0.0000, 0.2792, 0.3009), La at (0.0000, 0.2955, 0.6897), La at (0.0000, 0.3846, 0.0062), La at (0.0000, 0.4817, 0.7267), Nd at (0.0000, 0.4106, 0.4378), Sm at (0.0000, 0.1968, 0.9973), Tm at (0.0000, 0.1142, 0.7213) and Tm at (0.0000, 0.1155, 0.2965).

(6)
An optimized crystal structure of Te2MoSN. Source: Alexandria via LeMat-Bulk, functional GGA-PBE.

As for the polymorph energy (0 for the lowest one): 0.0000 eV/atom. The density of states at the Fermi level is 0.46 states/eV/atom. The value obtained for the formation energy without anion corrections is 444.9 meV/atom.

The structure belongs to space group P4/mmm (No. 123); the cell edges are 5.3628, 5.3628 and 3.7938 Å and the angles 90.00°, 90.00° and 90.00°. The inequivalent atoms are Te at (0.0000, 0.5000, 0.0000), Mo at (0.0000, 0.0000, 0.0000), S at (0.5000, 0.5000, 0.5000) and N at (0.0000, 0.0000, 0.5000).

(7)
An optimized crystal structure of La12SnPd5. Source: Alexandria via LeMat-Bulk, functional GGA-PBE.

The density of states at the Fermi level is 1.14 states/eV/atom. The value obtained for the formation enthalpy at 0 K is -0.55 eV/atom.

The structure belongs to space group Immm (No. 71); the cell edges are 9.8564, 10.2620 and 10.8728 Å and the angles 90.00°, 90.00° and 90.00°. The inequivalent atoms are La at (0.0000, 0.1855, 0.2223), La at (0.1974, 0.5000, 0.1726), La at (0.2099, 0.3213, 0.5000), Sn at (0.0000, 0.0000, 0.5000), Pd at (0.0000, 0.0000, 0.0000), Pd at (0.0000, 0.3535, 0.0000) and Pd at (0.0000, 0.5000, 0.3684).

(8)
An optimized crystal structure of Li5Zn2Ru. Source: Alexandria via LeMat-Bulk, functional GGA-PBE.

The density of states at the Fermi level is 0.44 states/eV/atom. The value obtained for the formation enthalpy at 0 K is -0.05 eV/atom.

The structure belongs to space group Pbam (No. 55); the cell edges are 5.3597, 10.4765 and 4.2435 Å and the angles 90.00°, 90.00° and 90.00°. The inequivalent atoms are Li at (0.0000, 0.0000, 0.0000), Li at (0.1257, 0.2462, 0.0000), Li at (0.1787, 0.8736, 0.5000), Zn at (0.1576, 0.6095, 0.5000) and Ru at (0.0000, 0.5000, 0.0000).

(9)
An optimized crystal structure of BaH3Pd. Source: Alexandria via LeMat-Bulk, functional GGA-PBE.

The density of states at the Fermi level is 0.02 states/eV/atom. The value obtained for the energy is -3.751 eV per atom.

The structure belongs to space group Imma (No. 74); the cell edges are 5.4328, 8.0295 and 6.7840 Å and the angles 90.00°, 90.00° and 90.00°. The inequivalent atoms are Ba at (0.0000, 0.0000, 0.0000), H at (0.0000, 0.0983, 0.3899), H at (0.2500, 0.2500, 0.7500) and Pd at (0.0000, 0.2500, 0.5582).

(10)
An optimized crystal structure of Re2WSe. Source: Alexandria via LeMat-Bulk, functional GGA-PBE.

The density of states at the Fermi level is 0.61 states/eV/atom. The value obtained for the formation energy without anion corrections is 359.2 meV/atom.

The structure belongs to space group R-3m (No. 166, hexagonal axes); the cell edges are 2.9030, 2.9030 and 25.7242 Å and the angles 90.00°, 90.00° and 120.00°. The inequivalent atoms are Re at (0.0000, 0.0000, 0.2488), W at (0.0000, 0.0000, 0.0000) and Se at (0.0000, 0.0000, 0.5000).

(11)
An optimized crystal structure of FeIrAu2. Source: Alexandria via LeMat-Bulk, functional GGA-PBE.

As for the polymorph energy (0 for the lowest one): 0.2095 eV/atom. The density of states at the Fermi level is 0.80 states/eV/atom. The value obtained for the formation enthalpy at 0 K is 0.33 eV/atom.

The structure belongs to space group F-43m (No. 216); the cell edges are 6.3568, 6.3568 and 6.3568 Å and the angles 90.00°, 90.00° and 90.00°. The inequivalent atoms are Fe at (0.0000, 0.0000, 0.0000), Ir at (0.2500, 0.2500, 0.2500), Au at (0.0000, 0.0000, 0.5000) and Au at (0.2500, 0.2500, 0.7500).